{"formula": "TiW", "functional": "PBE", "state": "relaxed", "sg": "Fd-3m", "total_energy_ev_per_atom": -10.470, "rho_g_cm3": 11.89, "lattice": [[-1.1371, -1.2106, -4.1900], [-3.3598, -2.9296, -0.6660], [-3.8980, 1.4063, -1.7726]], "species": ["Ti", "Ti", "W", "W"], "frac_coords": [[0.5000, 0.5000, 0.5000], [0.7500, 0.7500, 0.7500], [0.2500, 0.2500, 0.2500], [0.0000, 0.0000, 0.0000]]}